RbSnSN2 | PBE | relaxed

Computed properties:
energy above the most stable polymorph in this dataset	1.434	eV per atom

Cell: 4.886 4.886 9.189 Å, 90.00 90.00 90.00°
Positions (direct):
Rb  0.000  0.000  0.000
Sn  0.000  0.000  0.500
S  0.500  0.500  0.500
N  0.000  0.500  0.000
N  0.500  0.000  0.000

Tl2Ge2Pt | PBE | relaxed

Computed properties:
formation energy from the elements	-0.094	eV per atom

Cell: 6.514 6.514 5.415 Å, 90.00 90.00 90.00°
Positions (direct):
Tl  0.183  0.317  0.000
Tl  0.317  0.817  0.000
Tl  0.683  0.183  0.000
Tl  0.817  0.683  0.000
Ge  0.139  0.639  0.500
Ge  0.361  0.139  0.500
Ge  0.639  0.861  0.500
Ge  0.861  0.361  0.500
Pt  0.000  0.000  0.500
Pt  0.500  0.500  0.500

RbSiAuI2 | PBE | relaxed

Computed properties:
calculated total energy	-1.665	eV per atom

Cell: 6.559 6.559 5.839 Å, 90.00 90.00 90.00°
Positions (direct):
Rb  0.000  0.000  0.000
Si  0.500  0.500  0.500
Au  0.000  0.000  0.500
I  0.000  0.500  0.000
I  0.500  0.000  0.000